<a>
The following is a PBE calculation of a geometry-optimized Sr2TlI structure, from Alexandria.

Results
DOS at the Fermi energy = 1.287 states/eV per atom
SG = Fm-3m

Unit cell a=5.953 b=5.953 c=5.953 alpha=60.00 beta=60.00 gamma=60.00
Site moments in Bohr magnetons follow the coordinates.
Sites, in units of the cell vectors:
I: 0.000 0.000 0.000  0.09
Tl: 0.500 0.500 0.500  0.22
Sr: 0.750 0.750 0.750  0.09
Sr: 0.250 0.250 0.250  0.09


<b>
The following is a PBE calculation of a geometry-optimized Sr2TlI structure, from Alexandria.

Results
DOS at the Fermi energy = 0.375 states/eV per atom
SG = R3m

Unit cell a=4.445 b=4.445 c=9.714 alpha=76.77 beta=76.77 gamma=60.00
Sites, in units of the cell vectors:
Sr: 0.078 0.078 0.766
I: 0.499 0.499 0.504
Tl: 0.667 0.667 0.999
Sr: 0.256 0.256 0.231


Name the most stable of them. <b>.


<a>
The following is a PBE calculation of a geometry-optimized SrTl2I2 structure, from Alexandria.

Results
DOS at the Fermi energy = 0.304 states/eV per atom
SG = P4/mbm

Unit cell a=8.624 b=8.624 c=5.654 alpha=90.00 beta=90.00 gamma=90.00
Sites, in units of the cell vectors:
Tl: 0.177 0.677 0.500
I: 0.660 0.160 0.000
I: 0.160 0.340 0.000
Tl: 0.823 0.323 0.500
Sr: 0.500 0.500 0.000
I: 0.840 0.660 0.000
Tl: 0.323 0.177 0.500
Sr: 0.000 0.000 0.000
Tl: 0.677 0.823 0.500
I: 0.340 0.840 0.000


<b>
The following is a PBE calculation of a geometry-optimized SrTl2I2 structure, from Alexandria.

Results
DOS at the Fermi energy = 0.391 states/eV per atom
SG = I4/mmm

Unit cell a=4.297 b=4.297 c=12.662 alpha=80.23 beta=80.23 gamma=90.00
Sites, in units of the cell vectors:
Tl: 0.750 0.250 0.500
Tl: 0.250 0.750 0.500
I: 0.423 0.423 0.153
Sr: 0.000 0.000 0.000
I: 0.577 0.577 0.847


Name the most stable of them. <b>.